Record 1
Below is an optimized crystal structure of NaHIr, with properties calculated at the PBE-GGA level.

Spin magnetization (μB per formula unit): 0.0
SG: P3m1, No. 156
Energy above the lowest structure with this stoichiometry (meV/atom): 0

Geometry as POSCAR:
```
NaHIr
1.0
-2.7557 0.8492 -0.3792
0.6476 -1.9668 2.0423
0.6770 3.6869 3.3360
Na H Ir
1 1 1
Cartesian
0.0447 0.2434 0.2202 Na
-1.3277 1.5090 1.8742 H
-0.0974 1.0926 3.1540 Ir
```



Record 2
Below is an optimized crystal structure of AcLa4N4, with properties calculated at the PBE-GGA level.

Uncorrected formation energy (meV per atom): -1153
Spin magnetization (μB per formula unit): 0.0
SG: I4/m, No. 87

Geometry as POSCAR:
```
AcLa4N4
1.0
-2.5373 -6.0439 -0.2954
1.2298 4.0458 5.0173
-4.8513 3.3362 -2.8963
Ac La N
1 4 4
Cartesian
0.0000 0.0000 0.0000 Ac
-3.3723 -1.0657 1.5800 La
-2.7865 2.4038 0.2456 La
-5.1507 -0.2817 -1.5455 La
-1.0081 1.6199 3.3710 La
-3.5687 1.4904 2.6072 N
-2.5900 -0.1522 -0.7816 N
-2.9682 -3.5395 0.6450 N
-3.1905 4.8776 1.1805 N
```